The following is a PBE calculation of a relaxed structure of La2In3Rh, from Alexandria.

Cell lengths 3.8851, 4.9354, 8.4607 Å; angles 90.00, 90.00, 90.00 degrees
Closest atoms and distances in Å follow each position.
Atoms (fractional coordinates):
La1 0.0000 0.5000 0.0476  2 Rh 3.00, 4 In 3.32
La2 0.0000 0.0000 0.4788  8 In 3.23-3.56, 4 Rh 3.42
In1 0.5000 0.0000 0.8319  3 In 2.89-2.91
In2 0.5000 0.0000 0.1739  2 Rh 2.75, 1 In 2.89
In3 0.5000 0.5000 0.6495  1 Rh 2.80, 2 In 2.91
Rh1 0.5000 0.5000 0.3184  3 In 2.75-2.80, 2 La 3.00

Symmetry: No. 25
E: -28.79 eV/cell


The following is a PBE calculation of a relaxed structure of K2PaSbS5, from Alexandria.

Cell lengths 4.2421, 9.0407, 14.5833 Å; angles 90.00, 90.00, 103.57 degrees
Closest atoms and distances in Å follow each position.
Atoms (fractional coordinates):
K1 0.8607 0.7215 0.8073  7 S 3.28-3.54
K2 0.0904 0.1809 0.6584  6 S 3.17-3.38
K3 0.1393 0.2785 0.3073  7 S 3.28-3.54
K4 0.9096 0.8191 0.1584  6 S 3.17-3.38
Pa1 0.7808 0.5616 0.5326  6 S 2.51-2.79
Pa2 0.2192 0.4384 0.0326  6 S 2.51-2.79
Sb1 0.5385 0.0771 0.9380  2 S 2.39-2.62
Sb2 0.4615 0.9229 0.4380  2 S 2.39-2.62
S1 0.3576 0.7153 0.9894  1 Pa 2.51
S2 0.6866 0.3732 0.9142  1 Sb 2.62, 2 Pa 2.79
S3 0.5010 0.0021 0.7806  1 Sb 2.39
S4 0.2708 0.5416 0.6463  2 Pa 2.70
S5 0.9278 0.8556 0.5571  1 Pa 2.61, 2 Sb 2.80
S6 0.6424 0.2847 0.4894  1 Pa 2.51
S7 0.3134 0.6268 0.4142  1 Sb 2.62, 2 Pa 2.79
S8 0.4990 0.9979 0.2806  1 Sb 2.39
S9 0.7292 0.4584 0.1463  2 Pa 2.70
S10 0.0722 0.1444 0.0571  1 Pa 2.61, 2 Sb 2.80

Symmetry: No. 36
Formation energy from raw total energies: -1.123 eV per atom
E: -93.12 eV/cell


The following is a PBE calculation of a relaxed structure of InBPt3, from Alexandria.

Cell lengths 5.0653, 4.0691, 9.5259 Å; angles 90.04, 89.61, 66.40 degrees
Closest atoms and distances in Å follow each position.
Atoms (fractional coordinates):
In1 0.4267 0.2921 0.0738  5 Pt 2.76-2.85
In2 0.0129 0.9944 0.8912  5 Pt 2.76-2.85
B1 0.3337 0.8360 0.3623  5 Pt 2.01-2.19
B2 0.1057 0.4505 0.6026  5 Pt 2.01-2.19
Pt1 0.3816 0.3095 0.7841  1 B 2.16
Pt2 0.1652 0.4208 0.3864  3 B 2.08-2.19
Pt3 0.6704 0.6706 0.2281  1 B 2.01
Pt4 0.0578 0.9770 0.1808  1 B 2.16
Pt5 0.7690 0.6158 0.7369  1 B 2.01
Pt6 0.2743 0.8657 0.5786  3 B 2.08-2.19

Symmetry: No. 2
E: -57.26 eV/cell


The following is a PBE calculation of a relaxed structure of LaZn2Ni2, from Alexandria.

Cell lengths 5.2387, 5.2387, 8.1178 Å; angles 99.02, 99.02, 120.84 degrees
Closest atoms and distances in Å follow each position.
Atoms (fractional coordinates):
La1 0.8750 0.6250 0.7500  6 Ni 2.91-3.07, 4 Zn 3.19
La2 0.1250 0.3750 0.2500  6 Ni 2.91-3.07, 4 Zn 3.19
Zn1 0.2544 0.0049 0.5081  4 Ni 2.45-2.49, 2 Zn 2.62
Zn2 0.5049 0.7544 0.0081  4 Ni 2.45-2.49, 2 Zn 2.62
Zn3 0.7456 0.9951 0.4919  4 Ni 2.45-2.49, 2 Zn 2.62
Zn4 0.4951 0.2456 0.9919  4 Ni 2.45-2.49, 2 Zn 2.62
Ni1 0.1938 0.3062 0.7500  4 Zn 2.45-2.49
Ni2 0.4442 0.0558 0.2500  4 Zn 2.45-2.49
Ni3 0.5558 0.9442 0.7500  4 Zn 2.45-2.49
Ni4 0.8062 0.6938 0.2500  4 Zn 2.45-2.49

Symmetry: No. 15
Energy above the most stable polymorph in this dataset: 88 meV per atom
E: -40.65 eV/cell


The following is a PBE calculation of a relaxed structure of BaAl2BiN, from Alexandria.

Cell lengths 4.5750, 5.5273, 4.5750 Å; angles 90.00, 90.00, 90.00 degrees
Closest atoms and distances in Å follow each position.
Atoms (fractional coordinates):
N1 0.0000 0.0000 0.0000  4 Al 2.29
Al1 0.0000 0.0000 0.5000  2 N 2.29
Al2 0.5000 0.0000 0.0000  2 N 2.29
Bi1 0.5000 0.5000 0.5000  4 Ba 3.24, 8 Al 3.59
Ba1 0.0000 0.5000 0.0000  2 N 2.76

Symmetry: No. 123
Formation energy from raw total energies: 0.052 eV per atom
E: -21.36 eV/cell


The following is a PBE calculation of a relaxed structure of MnBe2Au, from Alexandria.

Cell lengths 2.7783, 2.7783, 6.0529 Å; angles 90.00, 90.00, 90.00 degrees
Closest atoms and distances in Å follow each position.
Atoms (fractional coordinates):
Be1 0.0000 0.0000 0.0386  4 Be 2.27, 1 Mn 2.48, 4 Au 2.49
Be2 0.5000 0.5000 0.2269  4 Be 2.27, 4 Mn 2.38
Mn1 0.0000 0.0000 0.4476  5 Be 2.38-2.48
Au1 0.5000 0.5000 0.7870  5 Be 2.49-2.66, 4 Au 2.78

Symmetry: No. 99
E: -19.77 eV/cell


The following is a PBE calculation of a relaxed structure of Sr2LaAu, from Alexandria.

Cell lengths 11.1316, 11.1316, 11.1316 Å; angles 21.31, 21.31, 21.31 degrees
Closest atoms and distances in Å follow each position.
Atoms (fractional coordinates):
Au1 0.2500 0.2500 0.2500  6 Sr 3.14
La1 0.7500 0.7500 0.7500  6 La 4.12, 6 Sr 4.13
Sr1 0.9796 0.9796 0.9796  3 Au 3.14
Sr2 0.5204 0.5204 0.5204  3 Au 3.14

Symmetry: No. 166
Energy above the most stable polymorph in this dataset: 124 meV per atom
E: -12.48 eV/cell


The following is a PBE calculation of a relaxed structure of Li6Ag2AuN, from Alexandria.

Cell lengths 6.2805, 6.2837, 5.4096 Å; angles 64.71, 64.65, 88.92 degrees
Closest atoms and distances in Å follow each position.
Atoms (fractional coordinates):
Li1 0.2845 0.7151 0.9999  1 N 1.89
Li2 0.6967 0.6971 0.0385  1 N 1.90
Li3 0.3085 0.3088 0.4334  1 N 1.90
Li4 0.7155 0.2849 0.0001  1 N 1.89
Li5 0.3033 0.3029 0.9615  1 N 1.90
Li6 0.6915 0.6912 0.5666  1 N 1.90
Ag1 0.1643 0.8363 0.4996  1 Ag 2.89, 6 Li 2.91-2.95, 2 Au 3.07
Ag2 0.8357 0.1637 0.5004  1 Ag 2.89, 6 Li 2.91-2.95, 2 Au 3.07
Au1 0.0000 0.0000 0.0000  6 Li 2.51-2.62
N1 0.5000 0.5000 0.0000  6 Li 1.89-1.90

Symmetry: No. 12
Formation energy from raw total energies: -0.217 eV per atom
E: -30.95 eV/cell